# 1
DFT (PBE) results for crystalline TbSmMgPd at its relaxed geometry.

Properties
Space-group type ... No. 216
Energy relative to the elements ... -8.54 kcal/mol of atoms
Density of states at the Fermi level ... 2.924 states/eV/cell
Volume ... 24.8 Å³ per atom

Cell: 5.1974 5.1974 5.1974 Å, 60.00 60.00 60.00°
With the nearest neighbours (Å) after each atom.
Fractional positions:
Tb  0.0000  0.0000  0.0000  4 Pd 3.18, 4 Mg 3.18
Sm  0.5000  0.5000  0.5000  4 Pd 3.18, 4 Mg 3.18
Mg  0.2500  0.2500  0.2500  4 Tb 3.18, 4 Sm 3.18
Pd  0.7500  0.7500  0.7500  4 Tb 3.18, 4 Sm 3.18

# 2
DFT (PBE) results for crystalline SmTmMg2Pd4 at its relaxed geometry.

Properties
Space-group type ... No. 166
Energy relative to the elements ... -18.15 kcal/mol of atoms
Density of states at the Fermi level ... 3.999 states/eV/cell
Volume ... 19.4 Å³ per atom

Cell: 8.3637 8.3637 8.3637 Å, 33.12 33.12 33.12°
With the nearest neighbours (Å) after each atom.
Fractional positions:
Sm  0.0000  0.0000  0.0000  8 Pd 2.96-3.00
Tm  0.5000  0.5000  0.5000  8 Pd 2.85-2.91
Mg  0.2483  0.2483  0.2483  8 Pd 2.88-3.11
Mg  0.7517  0.7517  0.7517  8 Pd 2.88-3.11
Pd  0.1265  0.1265  0.1265  4 Mg 2.88-2.92, 3 Tm 2.91, 1 Sm 3.00
Pd  0.3797  0.3797  0.3797  1 Tm 2.85, 4 Mg 2.90-3.11, 3 Sm 2.96
Pd  0.6203  0.6203  0.6203  1 Tm 2.85, 4 Mg 2.90-3.11, 3 Sm 2.96
Pd  0.8735  0.8735  0.8735  4 Mg 2.88-2.92, 3 Tm 2.91, 1 Sm 3.00